# Pm5In4Ir

A relaxed Pm5In4Ir crystal (PBE-GGA, the Alexandria database).

```
Pm5In4Ir
1.0
3.600 0.000 0.000
0.000 3.600 0.000
0.000 0.000 20.963
Pm In Ir
5 4 1
Direct
0.000 0.000 0.000
0.000 0.000 0.208
0.000 0.000 0.420
0.000 0.000 0.580
0.000 0.000 0.792
0.500 0.500 0.104
0.500 0.500 0.311
0.500 0.500 0.689
0.500 0.500 0.896
0.500 0.500 0.500
```

Summary:
* raw total energy: -4.8845 eV per atom
* symmetry: P4/mmm
* energy of formation: -0.5278 eV/atom